*w*
{"formula": "Pm2Nd5Ho3", "functional": "GGA-PBE", "state": "optimized geometry", "volume_a3_per_atom": 36.00, "lattice_angstrom": [[-4.737, 11.044, 3.441], [4.737, -11.044, 3.441], [4.737, 11.044, -3.441]], "species": ["Pm", "Pm", "Pm", "Pm", "Nd", "Nd", "Nd", "Nd", "Nd", "Nd", "Nd", "Nd", "Nd", "Nd", "Ho", "Ho", "Ho", "Ho", "Ho", "Ho"], "fractional_positions": [[0.122, 0.097, 0.219], [0.378, 0.597, 0.976], [0.622, 0.403, 0.024], [0.878, 0.903, 0.781], [0.003, 0.250, 0.753], [0.127, 0.404, 0.531], [0.250, 0.750, 0.500], [0.373, 0.904, 0.277], [0.497, 0.250, 0.247], [0.503, 0.750, 0.753], [0.627, 0.096, 0.723], [0.750, 0.250, 0.500], [0.873, 0.596, 0.469], [0.997, 0.750, 0.247], [0.119, 0.753, 0.872], [0.250, 0.250, 0.000], [0.381, 0.253, 0.634], [0.619, 0.747, 0.366], [0.750, 0.750, 0.000], [0.881, 0.247, 0.128]]}


*x*
{"formula": "Pm2Nd5Ho3", "functional": "GGA-PBE", "state": "optimized geometry", "volume_a3_per_atom": 34.46, "lattice_angstrom": [[5.454, -7.569, 0.000], [5.454, 7.569, 0.000], [-5.425, 0.000, 8.348]], "species": ["Pm", "Pm", "Pm", "Pm", "Nd", "Nd", "Nd", "Nd", "Nd", "Nd", "Nd", "Nd", "Nd", "Nd", "Ho", "Ho", "Ho", "Ho", "Ho", "Ho"], "fractional_positions": [[0.027, 0.271, 0.056], [0.271, 0.027, 0.556], [0.729, 0.973, 0.444], [0.973, 0.729, 0.944], [0.140, 0.381, 0.767], [0.229, 0.771, 0.750], [0.268, 0.732, 0.250], [0.381, 0.140, 0.267], [0.472, 0.528, 0.250], [0.528, 0.472, 0.750], [0.619, 0.860, 0.733], [0.732, 0.268, 0.750], [0.771, 0.229, 0.250], [0.860, 0.619, 0.233], [0.021, 0.979, 0.750], [0.220, 0.466, 0.448], [0.466, 0.220, 0.948], [0.534, 0.780, 0.052], [0.780, 0.534, 0.552], [0.979, 0.021, 0.250]]}


*x* comes first in stability; the runner-up is 0.182 eV/atom higher.